[1]
Below is a relaxed PtF5 crystal, with properties calculated at the PBE level.

Calculated values
The calculation puts the formation energy from raw total energies at -1.151 eV per atom. Its space group is P2_1/c.

Unit cell a=10.1591 b=5.6933 c=12.6794 alpha=78.66 beta=90.00 gamma=90.00
Fractional coordinates of all 48 atoms:
F (0.1727, 0.0989, 0.3609)
F (0.3273, 0.0989, 0.8609)
F (0.8327, 0.1020, 0.8520)
F (0.8981, 0.1841, 0.4513)
F (0.4169, 0.1976, 0.4504)
F (0.9238, 0.5651, 0.8502)
F (0.5862, 0.3920, 0.1667)
F (0.6676, 0.2673, 0.5454)
F (0.3515, 0.4798, 0.2505)
F (0.0831, 0.1976, 0.9504)
F (0.1814, 0.2723, 0.5447)
F (0.5762, 0.5651, 0.3502)
F (0.3324, 0.7327, 0.4546)
F (0.0691, 0.0208, 0.7602)
F (0.0862, 0.6080, 0.3333)
F (0.1676, 0.7327, 0.9546)
F (0.6814, 0.7277, 0.9553)
F (0.4138, 0.6080, 0.8333)
F (0.0762, 0.4349, 0.1498)
F (0.5691, 0.9792, 0.7398)
F (0.3981, 0.8159, 0.0487)
F (0.8273, 0.9011, 0.6391)
F (0.4309, 0.0208, 0.2602)
F (0.1019, 0.8159, 0.5487)
F (0.5831, 0.8024, 0.5496)
F (0.3186, 0.2723, 0.0447)
F (0.3327, 0.8980, 0.6480)
F (0.9138, 0.3920, 0.6667)
F (0.6727, 0.9011, 0.1391)
F (0.8515, 0.5202, 0.2495)
F (0.6673, 0.1020, 0.3520)
F (0.4238, 0.4349, 0.6498)
F (0.1485, 0.4798, 0.7505)
F (0.1673, 0.8980, 0.1480)
F (0.9309, 0.9792, 0.2398)
F (0.8324, 0.2673, 0.0454)
F (0.8186, 0.7277, 0.4553)
F (0.9169, 0.8024, 0.0496)
F (0.6485, 0.5202, 0.7495)
F (0.6019, 0.1841, 0.9513)
Pt (0.9979, 0.2981, 0.8017)
Pt (0.5021, 0.2981, 0.3017)
Pt (0.0021, 0.7019, 0.1983)
Pt (0.2484, 0.0005, 0.9979)
Pt (0.2516, 0.0005, 0.4979)
Pt (0.7516, 0.9995, 0.0021)
Pt (0.7484, 0.9995, 0.5021)
Pt (0.4979, 0.7019, 0.6983)


[2]
Below is a relaxed PtF3 crystal, with properties calculated at the PBE level.

Calculated values
The calculation puts the formation energy from raw total energies at -0.148 eV per atom. Its space group is Fm-3m.

Unit cell a=3.8953 b=3.8953 c=3.8953 alpha=60.00 beta=60.00 gamma=60.00
Fractional coordinates of all 4 atoms:
Pt (0.5000, 0.5000, 0.5000)
F (0.7500, 0.7500, 0.7500)
F (0.2500, 0.2500, 0.2500)
F (0.0000, 0.0000, 0.0000)


[3]
Below is a relaxed PtF3 crystal, with properties calculated at the PBE level.

Calculated values
The calculation puts the formation energy from raw total energies at -0.943 eV per atom. Its space group is P6_3/mcm.

Unit cell a=6.1242 b=5.0112 c=5.0112 alpha=120.00 beta=90.00 gamma=90.00
Fractional coordinates of all 8 atoms:
Pt (0.0000, 0.0000, 0.0000)
Pt (0.5000, 0.0000, 0.0000)
F (0.7500, 0.0000, 0.7129)
F (0.7500, 0.2871, 0.2871)
F (0.7500, 0.7129, 0.0000)
F (0.2500, 0.0000, 0.2871)
F (0.2500, 0.7129, 0.7129)
F (0.2500, 0.2871, 0.0000)


[4]
Below is a relaxed PtF5 crystal, with properties calculated at the PBE level.

Calculated values
The calculation puts the formation energy from raw total energies at -1.135 eV per atom. Its space group is C2/c.

Unit cell a=5.6691 b=5.6691 c=7.6430 alpha=84.31 beta=115.80 gamma=123.15
Fractional coordinates of all 12 atoms:
F (0.5910, 0.8410, 0.7500)
F (0.1810, 0.9436, 0.8619)
F (0.5817, 0.3191, 0.6381)
F (0.4090, 0.1590, 0.2500)
F (0.4183, 0.6809, 0.3619)
F (0.0689, 0.7869, 0.4517)
F (0.8190, 0.0564, 0.1381)
F (0.8352, 0.6172, 0.0483)
F (0.9311, 0.2131, 0.5483)
F (0.1648, 0.3828, 0.9517)
Pt (0.5000, 0.0000, 0.5000)
Pt (0.0000, 0.0000, 0.0000)


[5]
Below is a relaxed PtF3 crystal, with properties calculated at the PBE level.

Calculated values
The calculation puts the formation energy from raw total energies at -0.405 eV per atom. Its space group is R-3m.

Unit cell a=9.1329 b=9.1329 c=9.1329 alpha=17.35 beta=17.35 gamma=17.35
Fractional coordinates of all 4 atoms:
F (0.5000, 0.5000, 0.5000)
F (0.0704, 0.0704, 0.0704)
F (0.9296, 0.9296, 0.9296)
Pt (0.0000, 0.0000, 0.0000)


[6]
Below is a relaxed PtF crystal, with properties calculated at the PBE level.

Calculated values
The calculation puts the formation energy from raw total energies at -0.547 eV per atom. Its space group is P4/mnc.

Unit cell a=9.2635 b=9.2635 c=2.7558 alpha=90.00 beta=90.00 gamma=90.00
Fractional coordinates of all 16 atoms:
Pt (0.1783, 0.5055, 0.0000)
Pt (0.9945, 0.3217, 0.5000)
Pt (0.8217, 0.4945, 0.0000)
Pt (0.4945, 0.1783, 0.0000)
Pt (0.3217, 0.0055, 0.5000)
Pt (0.0055, 0.6783, 0.5000)
Pt (0.5055, 0.8217, 0.0000)
Pt (0.6783, 0.9945, 0.5000)
F (0.6410, 0.3446, 0.0000)
F (0.6554, 0.6410, 0.0000)
F (0.1554, 0.8590, 0.5000)
F (0.1410, 0.1554, 0.5000)
F (0.3590, 0.6554, 0.0000)
F (0.8446, 0.1410, 0.5000)
F (0.3446, 0.3590, 0.0000)
F (0.8590, 0.8446, 0.5000)


[7]
Below is a relaxed Pt2F13 crystal, with properties calculated at the PBE level.

Calculated values
The calculation puts the formation energy from raw total energies at -0.954 eV per atom. Its space group is P-1.

Unit cell a=5.0434 b=6.6659 c=7.7361 alpha=116.37 beta=88.02 gamma=102.07
Fractional coordinates of all 15 atoms:
F (0.1701, 0.9209, 0.6331)
F (0.8299, 0.0791, 0.3669)
F (0.3790, 0.4354, 0.9397)
F (0.0000, 0.0000, 0.0000)
F (0.1042, 0.4331, 0.3067)
F (0.2341, 0.8605, 0.2324)
F (0.7659, 0.1395, 0.7676)
F (0.5133, 0.2143, 0.1752)
F (0.4867, 0.7857, 0.8248)
F (0.8958, 0.5669, 0.6933)
F (0.3359, 0.2886, 0.5266)
F (0.6210, 0.5646, 0.0603)
F (0.6641, 0.7114, 0.4734)
Pt (0.1726, 0.1491, 0.2733)
Pt (0.8274, 0.8509, 0.7267)


[8]
Below is a relaxed PtF crystal, with properties calculated at the PBE level.

Calculated values
The calculation puts the formation energy from raw total energies at 0.745 eV per atom. Its space group is Pm-3n.

Unit cell a=6.5519 b=6.5519 c=6.5519 alpha=90.00 beta=90.00 gamma=90.00
Fractional coordinates of all 12 atoms:
Pt (0.2500, 0.0000, 0.5000)
Pt (0.0000, 0.5000, 0.2500)
Pt (0.0000, 0.5000, 0.7500)
Pt (0.5000, 0.2500, 0.0000)
Pt (0.7500, 0.0000, 0.5000)
Pt (0.5000, 0.7500, 0.0000)
F (0.0000, 0.2500, 0.5000)
F (0.7500, 0.5000, 0.0000)
F (0.2500, 0.5000, 0.0000)
F (0.5000, 0.0000, 0.2500)
F (0.5000, 0.0000, 0.7500)
F (0.0000, 0.7500, 0.5000)


[9]
Below is a relaxed Pt3F crystal, with properties calculated at the PBE level.

Calculated values
The calculation puts the formation energy from raw total energies at 0.112 eV per atom. Its space group is Fm-3m.

Unit cell a=4.3685 b=4.3685 c=4.3685 alpha=60.00 beta=60.00 gamma=60.00
Fractional coordinates of all 4 atoms:
Pt (0.7500, 0.7500, 0.7500)
Pt (0.5000, 0.5000, 0.5000)
Pt (0.2500, 0.2500, 0.2500)
F (0.0000, 0.0000, 0.0000)


[10]
Below is a relaxed PtF crystal, with properties calculated at the PBE level.

Calculated values
The calculation puts the formation energy from raw total energies at 0.455 eV per atom. Its space group is Fm-3m.

Unit cell a=4.8639 b=4.8639 c=4.8639 alpha=90.00 beta=90.00 gamma=90.00
Fractional coordinates of all 8 atoms:
F (0.5000, 0.0000, 0.5000)
F (0.0000, 0.5000, 0.5000)
F (0.0000, 0.0000, 0.0000)
F (0.5000, 0.5000, 0.0000)
Pt (0.5000, 0.0000, 0.0000)
Pt (0.0000, 0.5000, 0.0000)
Pt (0.0000, 0.0000, 0.5000)
Pt (0.5000, 0.5000, 0.5000)


[11]
Below is a relaxed PtF crystal, with properties calculated at the PBE level.

Calculated values
The calculation puts the formation energy from raw total energies at -0.133 eV per atom. Its space group is Fddd.

Unit cell a=5.1716 b=13.7047 c=8.0412 alpha=90.00 beta=90.00 gamma=90.00
Fractional coordinates of all 32 atoms:
F (0.4997, 0.2500, 0.7500)
F (0.7497, 0.5000, 0.0000)
F (0.9997, 0.7500, 0.7500)
F (0.2497, 0.0000, 0.0000)
F (0.7503, 0.5000, 0.5000)
F (0.2503, 0.5000, 0.0000)
F (0.2503, 0.0000, 0.5000)
F (0.0003, 0.2500, 0.7500)
F (0.0003, 0.7500, 0.2500)
F (0.4997, 0.7500, 0.2500)
F (0.9997, 0.2500, 0.2500)
F (0.2497, 0.5000, 0.5000)
F (0.5003, 0.7500, 0.7500)
F (0.5003, 0.2500, 0.2500)
F (0.7497, 0.0000, 0.5000)
F (0.7503, 0.0000, 0.0000)
Pt (0.2500, 0.4978, 0.2500)
Pt (0.0000, 0.2478, 0.5000)
Pt (0.0000, 0.7478, 0.0000)
Pt (0.5000, 0.2522, 0.5000)
Pt (0.0000, 0.2522, 0.0000)
Pt (0.2500, 0.0022, 0.2500)
Pt (0.2500, 0.9978, 0.7500)
Pt (0.2500, 0.5022, 0.7500)
Pt (0.7500, 0.0022, 0.7500)
Pt (0.0000, 0.7522, 0.5000)
Pt (0.5000, 0.7522, 0.0000)
Pt (0.7500, 0.5022, 0.2500)
Pt (0.5000, 0.2478, 0.0000)
Pt (0.5000, 0.7478, 0.5000)
Pt (0.7500, 0.9978, 0.2500)
Pt (0.7500, 0.4978, 0.7500)


[12]
Below is a relaxed PtF crystal, with properties calculated at the PBE level.

Calculated values
The calculation puts the formation energy from raw total energies at -0.526 eV per atom. Its space group is Pmmn.

Unit cell a=3.3405 b=6.4587 c=8.4356 alpha=90.00 beta=90.00 gamma=90.00
Fractional coordinates of all 12 atoms:
F (0.5000, 0.8309, 0.8443)
F (0.5000, 0.8309, 0.1557)
F (0.0000, 0.1691, 0.6557)
F (0.0000, 0.1691, 0.3443)
F (0.0000, 0.1748, 0.0000)
F (0.5000, 0.8252, 0.5000)
Pt (0.0000, 0.6246, 0.8112)
Pt (0.5000, 0.3754, 0.3112)
Pt (0.0000, 0.6246, 0.1888)
Pt (0.5000, 0.3750, 0.0000)
Pt (0.0000, 0.6250, 0.5000)
Pt (0.5000, 0.3754, 0.6888)


[13]
Below is a relaxed RbPt2F crystal, with properties calculated at the PBE level.

Calculated values
The calculation puts the formation energy from raw total energies at 0.032 eV per atom. Its space group is I-42d.

Unit cell a=4.9894 b=4.9894 c=9.2528 alpha=74.36 beta=74.36 gamma=90.00
Fractional coordinates of all 8 atoms:
Rb (0.0000, 0.0000, 0.0000)
Rb (0.7500, 0.2500, 0.5000)
Pt (0.3595, 0.1250, 0.2500)
Pt (0.3750, 0.6405, 0.7500)
Pt (0.8750, 0.6095, 0.7500)
Pt (0.3905, 0.6250, 0.2500)
F (0.5000, 0.5000, 0.0000)
F (0.2500, 0.7500, 0.5000)


[14]
Below is a relaxed Rb3PtF6 crystal, with properties calculated at the PBE level.

Calculated values
The calculation puts the formation energy from raw total energies at -1.980 eV per atom. Its space group is Cmc2_1.

Unit cell a=6.2419 b=8.5424 c=8.5424 alpha=89.83 beta=90.00 gamma=90.00
Fractional coordinates of all 20 atoms:
F (0.6594, 0.6220, 0.7011)
F (0.6394, 0.6745, 0.1119)
F (0.8150, 0.9607, 0.0393)
F (0.3150, 0.0393, 0.9607)
F (0.2272, 0.8219, 0.1781)
F (0.1394, 0.3255, 0.8881)
F (0.1594, 0.7011, 0.6220)
F (0.1394, 0.1119, 0.6745)
F (0.6594, 0.2989, 0.3780)
F (0.7272, 0.1781, 0.8219)
F (0.1594, 0.3780, 0.2989)
F (0.6394, 0.8881, 0.3255)
Rb (0.4812, 0.8925, 0.6314)
Rb (0.8791, 0.5907, 0.4093)
Rb (0.9812, 0.6314, 0.8925)
Rb (0.9812, 0.1075, 0.3686)
Rb (0.3791, 0.4093, 0.5907)
Rb (0.4812, 0.3686, 0.1075)
Pt (0.0042, 0.1059, 0.8941)
Pt (0.5042, 0.8941, 0.1059)


[15]
Below is a relaxed Rb2PtF crystal, with properties calculated at the PBE level.

Calculated values
The calculation puts the formation energy from raw total energies at -0.603 eV per atom. Its space group is Fm-3m.

Unit cell a=5.5908 b=5.5908 c=5.5908 alpha=60.00 beta=60.00 gamma=60.00
Fractional coordinates of all 4 atoms:
Rb (0.7500, 0.7500, 0.7500)
Rb (0.2500, 0.2500, 0.2500)
Pt (0.5000, 0.5000, 0.5000)
F (0.0000, 0.0000, 0.0000)


[16]
Below is a relaxed RbPt3F crystal, with properties calculated at the PBE level.

Calculated values
The calculation puts the formation energy from raw total energies at 0.741 eV per atom. Its space group is Pm-3m.

Unit cell a=4.6653 b=4.6653 c=4.6653 alpha=90.00 beta=90.00 gamma=90.00
Fractional coordinates of all 5 atoms:
F (0.0000, 0.0000, 0.0000)
Pt (0.0000, 0.0000, 0.5000)
Pt (0.5000, 0.0000, 0.0000)
Pt (0.0000, 0.5000, 0.0000)
Rb (0.5000, 0.5000, 0.5000)


[17]
Below is a relaxed RbPtF4 crystal, with properties calculated at the PBE level.

Calculated values
The calculation puts the formation energy from raw total energies at -1.747 eV per atom. Its space group is C2/c.

Unit cell a=6.3624 b=6.3949 c=7.1308 alpha=116.52 beta=116.38 gamma=90.24
Fractional coordinates of all 12 atoms:
Rb (0.3755, 0.1255, 0.7509)
Rb (0.6245, 0.8745, 0.2491)
F (0.2262, 0.0914, 0.2599)
F (0.8296, 0.2726, 0.2399)
F (0.5897, 0.5328, 0.7601)
F (0.1704, 0.7274, 0.7601)
F (0.4103, 0.4672, 0.2399)
F (0.0336, 0.6685, 0.2599)
F (0.9664, 0.3315, 0.7401)
F (0.7738, 0.9086, 0.7401)
Pt (0.8751, 0.6251, 0.7502)
Pt (0.1249, 0.3749, 0.2498)